Record 1
The following is a GGA-PBE calculation of a relaxed Sr2ZnHg crystal, from Alexandria.

Computed properties:
Size of the total moment: 0.000 Bohr magnetons per cell
Formation energy from the elements: -1.38 eV per formula unit
Total energy: -1.581 eV/atom
Polymorph energy (0 for the lowest one): 10 meV per atom

Cell: 4.8258 4.4839 12.2614 Å, 90.00 90.00 90.00°
With the nearest neighbours (Å) after each atom.
Space group Amm2 (No. 38)
One atom of each set of equivalent atoms:
Sr: 0.0000 0.0000 0.0000 x2  4 Zn 3.42, 3 Hg 3.43-3.53
Sr: 0.5000 0.0000 0.2881 x2  4 Hg 3.42, 3 Zn 3.44-3.52
Zn: 0.5000 0.0000 0.5754 x2  2 Hg 2.94
Hg: 0.0000 0.0000 0.7118 x2  2 Zn 2.94


Record 2
The following is a GGA-PBE calculation of a relaxed SrZn2Hg2 crystal, from Alexandria.

Computed properties:
Size of the total moment: 0.000 Bohr magnetons per cell
Formation energy from the elements: -0.64 eV per formula unit
Total energy: -1.095 eV/atom
Polymorph energy (0 for the lowest one): 135 meV per atom

Cell: 8.0738 8.0738 3.7590 Å, 90.00 90.00 90.00°
With the nearest neighbours (Å) after each atom.
Space group P4/mbm (No. 127)
One atom of each set of equivalent atoms:
Sr: 0.0000 0.0000 0.0000 x2  4 Zn 3.25, 8 Hg 3.50
Zn: 0.1132 0.3868 0.0000 x4  1 Zn 2.58
Hg: 0.1830 0.6830 0.5000 x4  6 Zn 2.99-3.09


Record 3
The following is a GGA-PBE calculation of a relaxed SrZn2Hg2 crystal, from Alexandria.

Computed properties:
Size of the total moment: 0.000 Bohr magnetons per cell
Formation energy from the elements: -1.32 eV per formula unit
Total energy: -1.230 eV/atom
Polymorph energy (0 for the lowest one): 0 meV per atom

Cell: 4.6847 4.6847 10.9908 Å, 90.00 90.00 90.00°
With the nearest neighbours (Å) after each atom.
Space group I4/mmm (No. 139)
One atom of each set of equivalent atoms:
Sr: 0.0000 0.0000 0.0000 x2  8 Zn 3.54, 8 Hg 3.61
Zn: 0.0000 0.0000 0.3870 x4  1 Zn 2.48
Hg: 0.0000 0.5000 0.2500 x4  4 Zn 2.78


Record 4
The following is a GGA-PBE calculation of a relaxed Sr7Zn2Hg2 crystal, from Alexandria.

Computed properties:
Size of the total moment: 0.000 Bohr magnetons per cell
Formation energy from the elements: -2.85 eV per formula unit
Total energy: -1.616 eV/atom
Polymorph energy (0 for the lowest one): 0 meV per atom

Cell: 4.4666 17.7510 10.7503 Å, 90.00 90.00 90.00°
With the nearest neighbours (Å) after each atom.
Space group Imm2 (No. 44)
One atom of each set of equivalent atoms:
Sr: 0.0000 0.0000 0.0000 x2  3 Hg 3.43-3.53
Sr: 0.0000 0.1129 0.5912 x4  2 Zn 3.41, 3 Hg 3.46-3.50
Sr: 0.0000 0.3144 0.3865 x4  3 Zn 3.31-3.40, 1 Hg 3.57
Sr: 0.0000 0.3634 0.7583 x4  2 Hg 3.38, 2 Zn 3.41
Zn: 0.0000 0.2420 0.0933 x4  7 Sr 3.31-3.41
Hg: 0.0000 0.0000 0.3284 x2  7 Sr 3.38-3.53
Hg: 0.0000 0.5000 0.2584 x2  8 Sr 3.43-3.57


Record 5
The following is a GGA-PBE calculation of a relaxed SrZnHg crystal, from Alexandria.

Computed properties:
Size of the total moment: 0.000 Bohr magnetons per cell
Formation energy from the elements: 0.08 eV per formula unit
Total energy: -1.060 eV/atom

Cell: 7.4749 7.4749 7.4749 Å, 90.00 90.00 90.00°
With the nearest neighbours (Å) after each atom.
Space group F-43m (No. 216)
One atom of each set of equivalent atoms:
Sr: 0.0000 0.0000 0.0000 x4  4 Hg 3.24, 4 Zn 3.24
Zn: 0.2500 0.2500 0.2500 x4  4 Sr 3.24
Hg: 0.2500 0.2500 0.7500 x4  4 Sr 3.24


Record 6
The following is a GGA-PBE calculation of a relaxed SrZn3Hg3 crystal, from Alexandria.

Computed properties:
Size of the total moment: 0.000 Bohr magnetons per cell
Formation energy from the elements: 0.35 eV per formula unit
Total energy: -0.866 eV/atom

Cell: 7.3944 7.3944 7.3944 Å, 90.00 90.00 90.00°
With the nearest neighbours (Å) after each atom.
Space group Pm-3n (No. 223)
One atom of each set of equivalent atoms:
Sr: 0.0000 0.0000 0.0000 x2  12 Hg 4.13, 12 Zn 4.13
Zn: 0.0000 0.2500 0.5000 x6  4 Hg 2.61
Hg: 0.0000 0.5000 0.2500 x6  4 Zn 2.61


Record 7
The following is a GGA-PBE calculation of a relaxed SrZn2Hg2 crystal, from Alexandria.

Computed properties:
Size of the total moment: 0.000 Bohr magnetons per cell
Formation energy from the elements: -0.37 eV per formula unit
Total energy: -1.040 eV/atom
Polymorph energy (0 for the lowest one): 190 meV per atom

Cell: 8.2206 8.2206 3.7447 Å, 90.00 90.00 90.00°
With the nearest neighbours (Å) after each atom.
Space group P4/mbm (No. 127)
One atom of each set of equivalent atoms:
Sr: 0.0000 0.0000 0.0000 x2  4 Hg 3.22, 8 Zn 3.59
Zn: 0.1678 0.3322 0.5000 x4  6 Hg 3.00-3.10
Hg: 0.1303 0.6303 0.0000 x4  6 Zn 3.00-3.10, 1 Hg 3.03, 2 Sr 3.22


Record 8
The following is a GGA-PBE calculation of a relaxed SrZn2Hg crystal, from Alexandria.

Computed properties:
Size of the total moment: 0.000 Bohr magnetons per cell
Formation energy from the elements: -0.59 eV per formula unit
Total energy: -1.280 eV/atom

Cell: 5.0997 5.0997 7.3484 Å, 90.00 90.00 90.00°
With the nearest neighbours (Å) after each atom.
Space group I-4m2 (No. 119)
One atom of each set of equivalent atoms:
Sr: 0.0000 0.0000 0.0000 x2  4 Hg 3.14, 4 Zn 3.14
Zn: 0.0000 0.0000 0.5000 x2  4 Hg 3.14, 4 Zn 3.14
Zn: 0.0000 0.5000 0.7500 x2  4 Sr 3.14, 4 Zn 3.14
Hg: 0.0000 0.5000 0.2500 x2  4 Sr 3.14, 4 Zn 3.14


Record 9
The following is a GGA-PBE calculation of a relaxed Sr2ZnHg crystal, from Alexandria.

Computed properties:
Size of the total moment: 0.000 Bohr magnetons per cell
Formation energy from the elements: -1.42 eV per formula unit
Total energy: -1.591 eV/atom
Polymorph energy (0 for the lowest one): 0 meV per atom

Cell: 7.9248 7.9248 7.9248 Å, 90.00 90.00 90.00°
With the nearest neighbours (Å) after each atom.
Space group Fm-3m (No. 225)
One atom of each set of equivalent atoms:
Sr: 0.2500 0.2500 0.2500 x8  4 Hg 3.43, 4 Zn 3.43
Zn: 0.0000 0.0000 0.0000 x4  8 Sr 3.43
Hg: 0.0000 0.0000 0.5000 x4  8 Sr 3.43


Record 10
The following is a GGA-PBE calculation of a relaxed Sr8ZnHg2 crystal, from Alexandria.

Computed properties:
Size of the total moment: 0.000 Bohr magnetons per cell
Formation energy from the elements: -2.24 eV per formula unit
Total energy: -1.598 eV/atom
Polymorph energy (0 for the lowest one): 0 meV per atom

Cell: 20.6407 5.7081 7.9862 Å, 90.00 106.80 90.00°
With the nearest neighbours (Å) after each atom.
Space group C2/m (No. 12)
One atom of each set of equivalent atoms:
Sr: 0.0336 0.0000 0.2950 x4  1 Hg 3.36, 2 Zn 3.46
Sr: 0.0933 0.5000 0.9472 x4  1 Zn 3.53, 2 Hg 3.74
Sr: 0.1668 0.5000 0.4686 x4  3 Hg 3.36-3.58, 1 Zn 3.52
Sr: 0.2072 0.0000 0.8216 x4  3 Hg 3.31-3.68
Zn: 0.0000 0.5000 0.5000 x2  8 Sr 3.46-3.53
Hg: 0.1850 0.0000 0.2152 x4  7 Sr 3.31-3.68


Record 11
The following is a GGA-PBE calculation of a relaxed SrZnHg crystal, from Alexandria.

Computed properties:
Size of the total moment: 0.000 Bohr magnetons per cell
Formation energy from the elements: -1.13 eV per formula unit
Total energy: -1.463 eV/atom

Cell: 11.7036 4.7726 8.0999 Å, 90.00 133.72 90.00°
With the nearest neighbours (Å) after each atom.
Space group C2/m (No. 12)
One atom of each set of equivalent atoms:
Sr: 0.0212 0.0000 0.2670 x4  6 Zn 3.37-3.58, 6 Hg 3.42-3.52
Zn: 0.1543 0.5000 0.6798 x4  1 Zn 2.64, 2 Hg 2.77
Hg: 0.1789 0.5000 0.1507 x4  2 Zn 2.77, 1 Hg 3.06


Record 12
The following is a GGA-PBE calculation of a relaxed Sr2ZnHg crystal, from Alexandria.

Computed properties:
Size of the total moment: 0.000 Bohr magnetons per cell
Formation energy from the elements: -0.95 eV per formula unit
Total energy: -1.473 eV/atom
Polymorph energy (0 for the lowest one): 118 meV per atom

Cell: 4.6216 4.6216 6.7050 Å, 90.00 90.00 90.00°
With the nearest neighbours (Å) after each atom.
Space group P4mm (No. 99)
One atom of each set of equivalent atoms:
Sr: 0.0000 0.0000 0.0000 x1  2 Zn 3.27-3.44, 4 Hg 3.32
Sr: 0.5000 0.5000 0.4239 x1  2 Hg 3.26-3.45, 4 Zn 3.32
Zn: 0.0000 0.0000 0.5124 x1  6 Sr 3.27-3.44
Hg: 0.5000 0.5000 0.9099 x1  6 Sr 3.26-3.45


Please write out number 3 again, unchanged.
The following is a GGA-PBE calculation of a relaxed SrZn2Hg2 crystal, from Alexandria.

Computed properties:
Size of the total moment: 0.000 Bohr magnetons per cell
Formation energy from the elements: -1.32 eV per formula unit
Total energy: -1.230 eV/atom
Polymorph energy (0 for the lowest one): 0 meV per atom

Cell: 4.6847 4.6847 10.9908 Å, 90.00 90.00 90.00°
With the nearest neighbours (Å) after each atom.
Space group I4/mmm (No. 139)
One atom of each set of equivalent atoms:
Sr: 0.0000 0.0000 0.0000 x2  8 Zn 3.54, 8 Hg 3.61
Zn: 0.0000 0.0000 0.3870 x4  1 Zn 2.48
Hg: 0.0000 0.5000 0.2500 x4  4 Zn 2.78


Q: Which of these has the lowest total energy?
A: Sr7Zn2Hg2


Copy entry 11 word for word.
The following is a GGA-PBE calculation of a relaxed SrZnHg crystal, from Alexandria.

Computed properties:
Size of the total moment: 0.000 Bohr magnetons per cell
Formation energy from the elements: -1.13 eV per formula unit
Total energy: -1.463 eV/atom

Cell: 11.7036 4.7726 8.0999 Å, 90.00 133.72 90.00°
With the nearest neighbours (Å) after each atom.
Space group C2/m (No. 12)
One atom of each set of equivalent atoms:
Sr: 0.0212 0.0000 0.2670 x4  6 Zn 3.37-3.58, 6 Hg 3.42-3.52
Zn: 0.1543 0.5000 0.6798 x4  1 Zn 2.64, 2 Hg 2.77
Hg: 0.1789 0.5000 0.1507 x4  2 Zn 2.77, 1 Hg 3.06